Entry from Alexandria: a geometry-optimized Mg3Cd4Cu structure (PBE).

Formation enthalpy at 0 K: -0.047 eV/atom

Cell: 4.507 3.197 12.051 Å, 82.44 77.84 89.89°
Element x y z (fractional)
Cd (0.094, 0.590, 0.815)
Cd (0.781, 0.280, 0.437)
Cd (0.906, 0.410, 0.185)
Cd (0.219, 0.720, 0.563)
Mg (0.352, 0.854, 0.293)
Mg (0.648, 0.146, 0.707)
Mg (0.500, 0.500, 0.000)
Cu (0.000, 0.000, 0.000)